Record 1
YbSe | PBE-GGA | relaxed

Cell lengths 4.1218, 4.1218, 7.1448 Å; angles 90.00, 90.00, 120.00 degrees
Space group P6_3/mmc (No. 194)
Unique sites:
Yb: 0.0000 0.0000 0.0000 x2
Se: 0.3333 0.6667 0.2500 x2

Output
Energy relative to the elements, uncorrected = -2.0237 eV per atom
Crystal system = hexagonal
Energy = -18.12 eV/cell
Magnetic moment = 0.00 μB/atom

Record 2
Yb3Se4 | PBE-GGA | relaxed

Cell lengths 8.2483, 11.4889, 4.1283 Å; angles 90.00, 90.00, 90.00 degrees
Space group Cmmm (No. 65)
Unique sites:
Yb: 0.0000 0.0000 0.0000 x2
Yb: 0.2500 0.2500 0.5000 x4
Se: 0.0000 0.2513 0.0000 x4
Se: 0.2388 0.0000 0.5000 x4

Output
Energy relative to the elements, uncorrected = -1.6806 eV per atom
Crystal system = orthorhombic
Energy = -60.56 eV/cell
Magnetic moment = 0.15 μB/atom

Record 3
YbSe | PBE-GGA | relaxed

Cell lengths 5.8789, 5.8789, 5.8789 Å; angles 90.00, 90.00, 90.00 degrees
Space group Fm-3m (No. 225)
Unique sites:
Yb: 0.0000 0.0000 0.0000 x4
Se: 0.0000 0.0000 0.5000 x4

Output
Energy relative to the elements, uncorrected = -1.9935 eV per atom
Crystal system = cubic
Energy = -35.99 eV/cell
Magnetic moment = 0.12 μB/atom

Record 4
ZnSe2 | PBE-GGA | relaxed

Cell lengths 7.1121, 7.1121, 4.5989 Å; angles 90.00, 90.00, 120.00 degrees
Space group P-62m (No. 189)
Unique sites:
Zn: 0.0000 0.0000 0.0000 x1
Zn: 0.3333 0.6667 0.5000 x2
Se: 0.0000 0.3057 0.5000 x3
Se: 0.0000 0.6625 0.0000 x3

Output
Energy relative to the elements, uncorrected = 0.0927 eV per atom
Crystal system = hexagonal
Energy = -23.89 eV/cell
Magnetic moment = 0.00 μB/atom

Record 5
ZnSe2 | PBE-GGA | relaxed

Cell lengths 6.3661, 6.3661, 6.3661 Å; angles 90.00, 90.00, 90.00 degrees
Space group Pa-3 (No. 205)
Unique sites:
Zn: 0.0000 0.0000 0.0000 x4
Se: 0.1087 0.6087 0.8913 x8

Output
Energy relative to the elements, uncorrected = -0.3296 eV per atom
Crystal system = cubic
Energy = -36.93 eV/cell
Magnetic moment = 0.00 μB/atom

Record 6
Zn5Se | PBE-GGA | relaxed

Cell lengths 12.1025, 3.0454, 6.8947 Å; angles 90.00, 121.15, 90.00 degrees
Space group Cm (No. 8)
Unique sites:
Zn: 0.0000 0.0000 0.0000 x2
Zn: 0.0012 0.5000 0.6554 x2
Zn: 0.0909 0.5000 0.3626 x2
Zn: 0.2036 0.0000 0.9586 x2
Zn: 0.3810 0.5000 0.2726 x2
Se: 0.2844 0.0000 0.6681 x2

Output
Energy relative to the elements, uncorrected = 0.0472 eV per atom
Crystal system = monoclinic
Energy = -19.14 eV/cell
Magnetic moment = 0.00 μB/atom

Record 7
ZnSe2 | PBE-GGA | relaxed

Cell lengths 4.3042, 4.3042, 8.0615 Å; angles 90.00, 90.00, 120.00 degrees
Space group P6_3/mmc (No. 194)
Unique sites:
Zn: 0.3333 0.6667 0.2500 x2
Se: 0.0000 0.0000 0.0000 x2
Se: 0.3333 0.6667 0.7500 x2

Output
Energy relative to the elements, uncorrected = 0.1867 eV per atom
Crystal system = hexagonal
Energy = -15.37 eV/cell
Magnetic moment = 0.00 μB/atom

Record 8
ZnSe4 | PBE-GGA | relaxed

Cell lengths 6.1472, 6.1472, 6.1472 Å; angles 90.00, 90.00, 90.00 degrees
Space group Im-3m (No. 229)
Unique sites:
Zn: 0.0000 0.0000 0.0000 x2
Se: 0.2500 0.2500 0.2500 x8

Output
Energy relative to the elements, uncorrected = 0.2793 eV per atom
Crystal system = cubic
Energy = -27.63 eV/cell
Magnetic moment = 0.00 μB/atom

Record 9
ZnSe2 | PBE-GGA | relaxed

Cell lengths 10.7724, 3.6322, 8.1231 Å; angles 90.00, 113.09, 90.00 degrees
Space group Cm (No. 8)
Unique sites:
Zn: 0.0000 0.0000 0.0000 x2
Zn: 0.1305 0.5000 0.4345 x2
Se: 0.2006 0.0000 0.6929 x2
Se: 0.2204 0.0000 0.2582 x2
Se: 0.4326 0.5000 0.2596 x2
Se: 0.4401 0.0000 0.7767 x2

Output
Energy relative to the elements, uncorrected = -0.1924 eV per atom
Crystal system = monoclinic
Energy = -35.28 eV/cell
Magnetic moment = 0.00 μB/atom

Record 10
ZnSe4 | PBE-GGA | relaxed

Cell lengths 4.8866, 4.8866, 4.8866 Å; angles 90.00, 90.00, 90.00 degrees
Space group Pm-3m (No. 221)
Unique sites:
Zn: 0.0000 0.0000 0.0000 x1
Se: 0.0000 0.0000 0.5000 x3
Se: 0.5000 0.5000 0.5000 x1

Output
Energy relative to the elements, uncorrected = 0.5885 eV per atom
Crystal system = cubic
Energy = -12.27 eV/cell
Magnetic moment = 0.00 μB/atom

Record 11
Zn3Se2 | PBE-GGA | relaxed

Cell lengths 4.0613, 4.0613, 9.9408 Å; angles 90.00, 90.00, 120.00 degrees
Space group P-3m1 (No. 164)
Unique sites:
Zn: 0.0000 0.0000 0.0000 x1
Zn: 0.3333 0.6667 0.4056 x2
Se: 0.3333 0.6667 0.6733 x2

Output
Energy relative to the elements, uncorrected = -0.2889 eV per atom
Crystal system = trigonal
Energy = -12.24 eV/cell
Magnetic moment = 0.00 μB/atom

Record 12
ZnSe2 | PBE-GGA | relaxed

Cell lengths 5.0090, 5.0090, 5.3988 Å; angles 90.00, 90.00, 120.00 degrees
Space group P6_3/mmc (No. 194)
Unique sites:
Zn: 0.3333 0.6667 0.2500 x2
Se: 0.0000 0.0000 0.0000 x2
Se: 0.3333 0.6667 0.7500 x2

Output
Energy relative to the elements, uncorrected = 0.2841 eV per atom
Crystal system = hexagonal
Energy = -14.78 eV/cell
Magnetic moment = 0.00 μB/atom

Record 13
Zn7Se6 | PBE-GGA | relaxed

Cell lengths 5.9601, 5.9601, 31.1826 Å; angles 90.00, 90.00, 120.00 degrees
Space group R-3m (No. 166, hexagonal axes)
Unique sites:
Zn: 0.0000 0.0000 0.0000 x3
Zn: 0.0030 0.5015 0.5876 x18
Se: 0.0000 0.0000 0.1332 x6
Se: 0.0000 0.0000 0.3074 x6
Se: 0.0000 0.0000 0.4119 x6

Output
Energy relative to the elements, uncorrected = -0.1320 eV per atom
Crystal system = trigonal
Energy = -94.62 eV/cell
Magnetic moment = 0.00 μB/atom

Record 14
Zn5Se3 | PBE-GGA | relaxed

Cell lengths 7.3050, 7.3050, 7.1473 Å; angles 90.00, 90.00, 120.00 degrees
Space group P6_3/mcm (No. 193)
Unique sites:
Zn: 0.0000 0.1988 0.2500 x6
Zn: 0.3333 0.6667 0.0000 x4
Se: 0.0000 0.4648 0.7500 x6

Output
Energy relative to the elements, uncorrected = -0.0625 eV per atom
Crystal system = hexagonal
Energy = -34.65 eV/cell
Magnetic moment = 0.00 μB/atom

Record 15
ZnSe2 | PBE-GGA | relaxed

Cell lengths 3.8606, 11.7235, 5.4287 Å; angles 90.00, 90.00, 90.00 degrees
Space group Cmcm (No. 63)
Unique sites:
Zn: 0.0000 0.1650 0.2500 x4
Se: 0.0000 0.1883 0.7500 x4
Se: 0.0000 0.4852 0.7500 x4

Output
Energy relative to the elements, uncorrected = -0.1637 eV per atom
Crystal system = orthorhombic
Energy = -34.94 eV/cell
Magnetic moment = 0.00 μB/atom

Record 16
Zn5Se4 | PBE-GGA | relaxed

Cell lengths 7.5418, 7.5418, 7.4010 Å; angles 90.00, 90.00, 120.00 degrees
Space group P6_3/mcm (No. 193)
Unique sites:
Zn: 0.0000 0.2456 0.2500 x6
Zn: 0.3333 0.6667 0.0000 x4
Se: 0.0000 0.0000 0.0000 x2
Se: 0.0000 0.4303 0.7500 x6

Output
Energy relative to the elements, uncorrected = -0.1819 eV per atom
Crystal system = hexagonal
Energy = -43.89 eV/cell
Magnetic moment = 0.00 μB/atom

Record 17
Zn5Se | PBE-GGA | relaxed

Cell lengths 5.2206, 3.0530, 13.1294 Å; angles 90.00, 90.00, 90.00 degrees
Space group Amm2 (No. 38)
Unique sites:
Zn: 0.0000 0.0000 0.0000 x2
Zn: 0.0000 0.0000 0.3311 x2
Zn: 0.0000 0.0000 0.6636 x2
Zn: 0.5000 0.0000 0.0844 x2
Zn: 0.5000 0.0000 0.7420 x2
Se: 0.5000 0.0000 0.4061 x2

Output
Energy relative to the elements, uncorrected = 0.0912 eV per atom
Crystal system = orthorhombic
Energy = -18.61 eV/cell
Magnetic moment = 0.00 μB/atom

Record 18
ZnSe2 | PBE-GGA | relaxed

Cell lengths 3.6250, 3.6250, 9.8123 Å; angles 90.00, 90.00, 90.00 degrees
Space group I4/mmm (No. 139)
Unique sites:
Zn: 0.0000 0.0000 0.0000 x2
Se: 0.0000 0.0000 0.3740 x4

Output
Energy relative to the elements, uncorrected = 0.1184 eV per atom
Crystal system = tetragonal
Energy = -15.78 eV/cell
Magnetic moment = 0.00 μB/atom

Record 19
ZnSe2 | PBE-GGA | relaxed

Cell lengths 3.5942, 26.4156, 3.6050 Å; angles 90.00, 90.00, 90.00 degrees
Space group Cmcm (No. 63)
Unique sites:
Zn: 0.0000 0.0892 0.2500 x4
Se: 0.0000 0.2374 0.7500 x4
Se: 0.0000 0.4150 0.2500 x4

Output
Energy relative to the elements, uncorrected = -0.0619 eV per atom
Crystal system = orthorhombic
Energy = -33.72 eV/cell
Magnetic moment = 0.00 μB/atom

Record 20
Zn4Se5 | PBE-GGA | relaxed

Cell lengths 10.1143, 10.1143, 3.4307 Å; angles 90.00, 90.00, 90.00 degrees
Space group I4/mmm (No. 139)
Unique sites:
Zn: 0.0000 0.3461 0.0000 x8
Se: 0.0000 0.0000 0.0000 x2
Se: 0.1776 0.1776 0.5000 x8

Output
Energy relative to the elements, uncorrected = 0.2636 eV per atom
Crystal system = tetragonal
Energy = -40.29 eV/cell
Magnetic moment = 0.00 μB/atom